Here is LiSc2As after structural relaxation from Alexandria. Energies are from GGA-PBE.

Energy of formation from the pure elements in meV per atom: -493
Magnetic moment in μB/cell: 0.61
DOS(E_F) in states/eV/f.u.: 3.43

Cell and atoms, written as POSCAR:
```
LiSc2As
1.0
3.718 0.000 0.000
0.000 3.718 0.000
0.000 0.000 5.761
Li Sc As
1 2 1
Cartesian
0.000 0.000 0.000 Li
0.000 0.000 3.152 Sc
1.859 1.859 1.388 Sc
1.859 1.859 4.253 As
```

***

Here is Er4SiGeS2 after structural relaxation from Alexandria. Energies are from GGA-PBE.

Magnetic moment in μB/cell: 0.00
DOS(E_F) in states/eV/f.u.: 1.28
Uncorrected formation energy in eV per atom: -1.43

Cell and atoms, written as POSCAR:
```
Er4SiGeS2
1.0
-2.824 2.824 5.661
2.824 -2.824 5.661
2.824 2.824 -5.661
Er Si Ge S
4 1 1 2
Cartesian
0.000 2.824 5.656 Er
0.000 0.000 2.810 Er
0.000 2.824 0.005 Er
0.000 0.000 8.512 Er
2.824 0.000 2.830 Si
0.000 0.000 5.661 Ge
0.000 0.000 0.000 S
0.000 2.824 2.830 S
```

***

Here is RePt2N after structural relaxation from Alexandria. Energies are from GGA-PBE.

Magnetic moment in μB/cell: 1.07
DOS(E_F) in states/eV/f.u.: 3.81
Uncorrected formation energy in eV per atom: 0.93

Cell and atoms, written as POSCAR:
```
RePt2N
1.0
-3.345 3.345 2.459
3.345 -3.345 2.459
3.345 3.345 -2.459
Re Pt N
2 4 2
Cartesian
0.000 0.000 0.000 Re
0.000 3.345 1.230 Re
1.673 -1.297 1.844 Pt
2.048 1.673 0.615 Pt
1.673 4.643 -0.615 Pt
1.297 1.673 3.074 Pt
3.345 0.000 1.230 N
0.000 0.000 2.459 N
```

***

Here is RbRhPb after structural relaxation from Alexandria. Energies are from GGA-PBE.

Energy of formation from the pure elements in meV per atom: -87
Magnetic moment in μB/cell: 0.00
DOS(E_F) in states/eV/f.u.: 0.24

Cell and atoms, written as POSCAR:
```
RbRhPb
1.0
4.666 0.000 0.000
0.000 4.666 0.000
0.000 0.000 8.612
Rb Rh Pb
2 2 2
Cartesian
1.166 1.166 1.442 Rb
3.499 3.499 7.169 Rb
1.166 3.499 4.306 Rh
3.499 1.166 4.306 Rh
1.166 1.166 5.729 Pb
3.499 3.499 2.882 Pb
```

***

- Among the records above, which one has the highest DOS(E_F)?
  RePt2N

***

- The highest magnetic moment belongs to which entry?
  RePt2N

***

- Look up the magnetic moment of the third one.
  1.07 μB/cell

***

- Which formula does entry 3 have?
  RePt2N